# 1
A plane-wave DFT calculation with GGA-PBE was carried out for an optimized crystal structure of MnSi2Se.

E_form (uncorrected) (meV/atom): 196
DFT total energy (eV/atom): -5.679

Lattice parameters (Å, degrees): 2.8279 2.8279 7.3692 90.00 90.00 90.00
Last column: nearest neighbours and their distance in Å.
Space group P4/mmm (No. 123)
Symmetry-distinct sites (fractional):
Mn1 0.0000 0.0000 0.0000 x1  8 Si 2.41
Si1 0.5000 0.5000 0.1819 x2  4 Mn 2.41, 1 Si 2.68
Se1 0.0000 0.0000 0.5000 x1  4 Se 2.83, 8 Si 3.08

=====

# 2
A plane-wave DFT calculation with GGA-PBE was carried out for an optimized crystal structure of Ti2MnSiSe.

E_form (uncorrected) (meV/atom): 606
DFT total energy (eV/atom): -6.167

Lattice parameters (Å, degrees): 4.6319 4.6319 4.8757 90.00 90.00 90.00
Last column: nearest neighbours and their distance in Å.
Space group P4/mmm (No. 123)
Symmetry-distinct sites (fractional):
Ti1 0.0000 0.5000 0.0000 x2  2 Se 2.32
Mn1 0.0000 0.0000 0.5000 x1  4 Si 3.28, 8 Ti 3.36
Si1 0.5000 0.5000 0.5000 x1  2 Se 2.44
Se1 0.5000 0.5000 0.0000 x1  4 Ti 2.32, 2 Si 2.44

=====

# 3
A plane-wave DFT calculation with GGA-PBE was carried out for an optimized crystal structure of MnTl2SiSe4.

E_form (uncorrected) (meV/atom): -440
DFT total energy (eV/atom): -4.598

Lattice parameters (Å, degrees): 6.1161 13.1835 25.1443 90.00 90.00 90.00
Last column: nearest neighbours and their distance in Å.
Space group Fddd (No. 70, origin choice 2)
Symmetry-distinct sites (fractional):
Mn1 0.1250 0.1250 0.1250 x8  4 Se 2.53
Tl1 0.1250 0.1250 0.3212 x16  4 Se 3.30-3.48
Si1 0.1250 0.1250 0.6250 x8  4 Se 2.31
Se1 0.0955 0.2730 0.8233 x32  1 Si 2.31, 1 Mn 2.53

=====

# 4
A plane-wave DFT calculation with GGA-PBE was carried out for an optimized crystal structure of Mn2Tl2SiSe6.

E_form (uncorrected) (meV/atom): -417
DFT total energy (eV/atom): -4.908

Lattice parameters (Å, degrees): 6.3546 11.0122 8.1059 90.00 104.96 90.00
Last column: nearest neighbours and their distance in Å.
Space group C2/m (No. 12)
Symmetry-distinct sites (fractional):
Mn1 0.0000 0.1686 0.0000 x4  6 Se 2.53-2.55
Tl1 0.0000 0.3340 0.5000 x4  6 Se 3.29-3.33, 3 Tl 3.66-3.68
Si1 0.0000 0.5000 0.0000 x2  6 Se 2.50-2.51
Se1 0.2242 0.3362 0.1762 x8  1 Si 2.50, 2 Mn 2.53-2.54
Se2 0.2268 0.0000 0.1750 x4  1 Si 2.51, 2 Mn 2.55

=====

# 5
A plane-wave DFT calculation with GGA-PBE was carried out for an optimized crystal structure of SmMn4Se8.

E_form (uncorrected) (meV/atom): -665
DFT total energy (eV/atom): -5.994

Lattice parameters (Å, degrees): 7.4152 7.4152 20.5560 90.00 90.00 120.00
Last column: nearest neighbours and their distance in Å.
Space group R-3m (No. 166, hexagonal axes)
Symmetry-distinct sites (fractional):
Sm1 0.0000 0.0000 0.0000 x3  6 Se 2.90
Mn1 0.0000 0.0000 0.5000 x3  6 Se 2.60
Mn2 0.0000 0.5000 0.5000 x9  6 Se 2.53-2.56
Se1 0.0000 0.0000 0.2326 x6  3 Mn 2.53
Se2 0.0042 0.5021 0.7636 x18  3 Mn 2.56-2.60

=====

# 6
A plane-wave DFT calculation with GGA-PBE was carried out for an optimized crystal structure of SrSmMnSe4.

E_form (uncorrected) (meV/atom): -1363
DFT total energy (eV/atom): -5.579

Lattice parameters (Å, degrees): 6.9921 6.4236 8.5962 90.00 107.28 90.00
Last column: nearest neighbours and their distance in Å.
Space group P2_1/m (No. 11)
Symmetry-distinct sites (fractional):
Sr1 0.2425 0.2500 0.4383 x2  8 Se 3.08-3.41
Sm1 0.2527 0.2500 0.9399 x2  6 Se 2.98-3.07
Mn1 0.2609 0.7500 0.1826 x2  4 Se 2.38-2.40
Se1 0.0718 0.7500 0.9006 x2  1 Mn 2.39
Se2 0.0727 0.7500 0.3753 x2  1 Mn 2.40
Se3 0.4863 0.5104 0.7644 x4  1 Mn 2.38

=====

# 7
A plane-wave DFT calculation with GGA-PBE was carried out for an optimized crystal structure of Sm2Mn2Te2Se3.

E_form (uncorrected) (meV/atom): -864
DFT total energy (eV/atom): -5.810

Lattice parameters (Å, degrees): 4.9399 4.9399 19.4028 90.00 90.00 90.00
Last column: nearest neighbours and their distance in Å.
Space group I4/mmm (No. 139)
Symmetry-distinct sites (fractional):
Sm1 0.0000 0.0000 0.1716 x4  4 Se 2.90
Mn1 0.0000 0.5000 0.0000 x4  2 Se 2.47
Te1 0.0000 0.0000 0.4032 x4  4 Mn 3.10
Se1 0.0000 0.0000 0.0000 x2  4 Mn 2.47
Se2 0.0000 0.5000 0.2500 x4  4 Sm 2.90

=====

# 8
A plane-wave DFT calculation with GGA-PBE was carried out for an optimized crystal structure of SmMn2Tl3Se6.

E_form (uncorrected) (meV/atom): -705
DFT total energy (eV/atom): -4.961

Lattice parameters (Å, degrees): 6.9020 11.8260 8.0236 90.00 106.49 90.00
Last column: nearest neighbours and their distance in Å.
Space group C2/m (No. 12)
Symmetry-distinct sites (fractional):
Sm1 0.0000 0.0000 0.0000 x2  6 Se 2.92-2.93
Mn1 0.0000 0.3325 0.0000 x4  6 Se 2.61-2.67
Tl1 0.0000 0.1556 0.5000 x4  6 Se 3.19-3.37
Tl2 0.0000 0.5000 0.5000 x2  6 Se 3.17-3.37
Se1 0.1928 0.5000 0.1857 x4  2 Mn 2.61, 1 Sm 2.92
Se2 0.2468 0.1842 0.1955 x8  2 Mn 2.63-2.67, 1 Sm 2.93

=====

# 9
A plane-wave DFT calculation with GGA-PBE was carried out for an optimized crystal structure of Sm3MnTl4Se8.

E_form (uncorrected) (meV/atom): -1097
DFT total energy (eV/atom): -4.889

Lattice parameters (Å, degrees): 8.3756 8.3756 22.9577 90.00 90.00 120.00
Last column: nearest neighbours and their distance in Å.
Space group R-3m (No. 166, hexagonal axes)
Symmetry-distinct sites (fractional):
Sm1 0.0000 0.5000 0.0000 x9  6 Se 2.92-2.94
Mn1 0.0000 0.0000 0.0000 x3  6 Se 2.75
Tl1 0.0000 0.0000 0.5000 x3  6 Se 3.43
Tl2 0.0000 0.5000 0.5000 x9  6 Se 3.26-3.27
Se1 0.0000 0.0000 0.2622 x6  3 Sm 2.92, 3 Tl 3.26
Se2 0.0200 0.5100 0.7342 x18  1 Mn 2.75, 2 Sm 2.94

=====

# 10
A plane-wave DFT calculation with GGA-PBE was carried out for an optimized crystal structure of SmMnTl2Se4.

E_form (uncorrected) (meV/atom): -806
DFT total energy (eV/atom): -4.876

Lattice parameters (Å, degrees): 8.4271 8.6084 12.0415 90.00 90.00 90.00
Last column: nearest neighbours and their distance in Å.
Space group Imma (No. 74)
Symmetry-distinct sites (fractional):
Sm1 0.0000 0.0000 0.0000 x4  6 Se 2.92-2.95
Mn1 0.2500 0.2500 0.2500 x4  6 Se 2.74-2.75
Tl1 0.0000 0.0000 0.5000 x4  6 Se 3.12-3.13
Tl2 0.2500 0.2500 0.7500 x4  6 Se 3.29-3.30
Se1 0.0000 0.0453 0.2429 x8  2 Mn 2.75, 1 Sm 2.95
Se2 0.2317 0.2500 0.0225 x8  1 Mn 2.74, 2 Sm 2.92

=====

# 11
A plane-wave DFT calculation with GGA-PBE was carried out for an optimized crystal structure of Sm2TmMnSe5.

E_form (uncorrected) (meV/atom): -1523
DFT total energy (eV/atom): -6.023

Lattice parameters (Å, degrees): 4.0304 17.2504 12.3763 90.00 90.00 90.00
Last column: nearest neighbours and their distance in Å.
Space group Cmc2_1 (No. 36)
Symmetry-distinct sites (fractional):
Sm1 0.0000 0.1169 0.0000 x4  8 Se 3.01-3.28
Sm2 0.0000 0.1216 0.3487 x4  8 Se 3.03-3.17
Tm1 0.0000 0.1813 0.6779 x4  6 Se 2.81-2.88
Mn1 0.0000 0.4453 0.0794 x4  4 Se 2.41-2.53
Se1 0.0000 0.0155 0.6782 x4  2 Mn 2.45
Se2 0.0000 0.3030 0.3395 x4  2 Tm 2.85, 3 Sm 3.13-3.15
Se3 0.0000 0.3067 0.0126 x4  1 Mn 2.53
Se4 0.0000 0.3442 0.6723 x4  1 Tm 2.81, 4 Sm 3.01-3.03
Se5 0.0000 0.4950 0.4035 x4  1 Mn 2.41

=====

# 12
A plane-wave DFT calculation with GGA-PBE was carried out for an optimized crystal structure of Sm2YMnSe6.

E_form (uncorrected) (meV/atom): -1415
DFT total energy (eV/atom): -6.013

Lattice parameters (Å, degrees): 7.1318 7.1414 7.5084 90.11 118.27 119.94
Last column: nearest neighbours and their distance in Å.
Space group P1 (No. 1)
Symmetry-distinct sites (fractional):
Sm1 0.0000 0.0000 0.0000 x1  6 Se 2.92-2.97
Sm2 0.0028 0.5017 0.5043 x1  6 Se 2.88-2.99
Y1 0.4040 0.7018 0.1060 x1  6 Se 2.82-2.88
Mn1 0.3985 0.1991 0.5978 x1  6 Se 2.62-2.64
Se1 0.2519 0.4155 0.3375 x1  1 Mn 2.64, 1 Y 2.82, 1 Sm 2.88
Se2 0.2562 0.3154 0.8178 x1  1 Mn 2.62, 1 Y 2.88, 1 Sm 2.92
Se3 0.5013 0.0859 0.3380 x1  1 Mn 2.63, 1 Y 2.82, 1 Sm 2.88
Se4 0.5025 0.9404 0.8186 x1  1 Mn 2.63, 1 Y 2.88, 1 Sm 2.92
Se5 0.8776 0.5617 0.8187 x1  1 Mn 2.63, 1 Y 2.88, 1 Sm 2.92
Se6 0.9221 0.8363 0.3375 x1  1 Mn 2.64, 1 Y 2.82, 1 Sm 2.88

=====

Question: What is the E_form (uncorrected) in the fourth record?
Answer: -417 meV/atom